# 1
{"formula": "Sr6LiN2", "functional": "PBE-GGA", "state": "relaxed", "total_magnetization_mub_per_atom": 0.0000, "total_energy_ev_per_atom": -3.445, "cell": [[7.564, -2.250, 0.000], [7.564, 2.250, 0.000], [-1.672, 0.000, 10.233]], "species": ["Sr", "Sr", "Sr", "Sr", "Sr", "Sr", "Li", "N", "N"], "frac_coords": [[0.098, 0.098, 0.215], [0.189, 0.189, 0.900], [0.332, 0.332, 0.380], [0.668, 0.668, 0.620], [0.811, 0.811, 0.100], [0.902, 0.902, 0.785], [0.000, 0.000, 0.500], [0.244, 0.244, 0.155], [0.756, 0.756, 0.845]]}

=====

# 2
{"formula": "SrLaC3", "functional": "PBE-GGA", "state": "relaxed", "total_magnetization_mub_per_atom": 0.0000, "relative_energy_ev_per_atom": 0.000, "delta_e_f_ev_per_atom": 1.845, "total_energy_ev_per_atom": -5.011, "cell": [[4.609, 0.000, 0.000], [0.000, 4.609, 0.000], [0.000, 0.000, 4.609]], "species": ["Sr", "La", "C", "C", "C"], "frac_coords": [[0.000, 0.000, 0.000], [0.500, 0.500, 0.500], [0.000, 0.500, 0.500], [0.500, 0.000, 0.500], [0.500, 0.500, 0.000]]}

=====

# 3
{"formula": "K2ZrIr", "functional": "PBE-GGA", "state": "relaxed", "total_magnetization_mub_per_atom": 0.0002, "relative_energy_ev_per_atom": 0.807, "delta_e_f_ev_per_atom": 0.911, "total_energy_ev_per_atom": -3.990, "cell": [[1.557, -2.536, 0.000], [1.557, 2.536, 0.000], [0.000, 0.000, 12.480]], "species": ["K", "K", "Zr", "Ir"], "frac_coords": [[0.000, 0.000, 0.213], [0.000, 0.000, 0.787], [0.500, 0.500, 0.500], [0.500, 0.500, 0.000]]}

=====

# 4
{"formula": "AcPrEr2", "functional": "PBE-GGA", "state": "relaxed", "total_magnetization_mub_per_atom": 0.0001, "relative_energy_ev_per_atom": 0.000, "delta_e_f_ev_per_atom": 0.044, "total_energy_ev_per_atom": -4.459, "cell": [[5.283, 0.000, 0.000], [0.000, 5.283, 0.000], [0.000, 0.000, 5.029]], "species": ["Ac", "Pr", "Er", "Er"], "frac_coords": [[0.000, 0.000, 0.000], [0.500, 0.500, 0.000], [0.000, 0.500, 0.500], [0.500, 0.000, 0.500]]}

=====

# 5
{"formula": "TcHgPb2", "functional": "PBE-GGA", "state": "relaxed", "total_magnetization_mub_per_atom": 0.0000, "delta_e_f_ev_per_atom": 0.513, "total_energy_ev_per_atom": -4.009, "cell": [[4.716, 0.000, 0.000], [0.000, 1.796, 5.467], [0.000, -1.796, 5.467]], "species": ["Tc", "Hg", "Pb", "Pb"], "frac_coords": [[0.000, 0.000, 0.000], [0.500, 0.153, 0.153], [0.000, 0.727, 0.727], [0.500, 0.426, 0.426]]}

=====

# 6
{"formula": "K4U3PtSe8", "functional": "PBE-GGA", "state": "relaxed", "total_magnetization_mub_per_atom": 0.4937, "total_energy_ev_per_atom": -5.576, "cell": [[7.442, -4.018, 0.000], [7.442, 4.018, 0.000], [-4.718, 0.000, 7.813]], "species": ["K", "K", "K", "K", "U", "U", "U", "Pt", "Se", "Se", "Se", "Se", "Se", "Se", "Se", "Se"], "frac_coords": [[0.000, 0.000, 0.000], [0.000, 0.500, 0.000], [0.500, 0.000, 0.000], [0.500, 0.500, 0.000], [0.000, 0.000, 0.500], [0.000, 0.500, 0.500], [0.500, 0.000, 0.500], [0.500, 0.500, 0.500], [0.230, 0.230, 0.709], [0.234, 0.234, 0.270], [0.255, 0.707, 0.686], [0.293, 0.745, 0.314], [0.707, 0.255, 0.686], [0.745, 0.293, 0.314], [0.766, 0.766, 0.730], [0.770, 0.770, 0.291]]}

=====

# 7
{"formula": "SmDySnPt", "functional": "PBE-GGA", "state": "relaxed", "total_magnetization_mub_per_atom": 0.0000, "delta_e_f_ev_per_atom": -0.824, "total_energy_ev_per_atom": -5.665, "cell": [[0.000, 3.678, 3.678], [3.678, 0.000, 3.678], [3.678, 3.678, 0.000]], "species": ["Sm", "Dy", "Sn", "Pt"], "frac_coords": [[0.000, 0.000, 0.000], [0.500, 0.500, 0.500], [0.250, 0.250, 0.250], [0.750, 0.750, 0.750]]}

=====

# 8
{"formula": "LaY", "functional": "PBE-GGA", "state": "relaxed", "total_magnetization_mub_per_atom": 0.0000, "relative_energy_ev_per_atom": 0.248, "delta_e_f_ev_per_atom": 0.252, "total_energy_ev_per_atom": -5.443, "cell": [[11.905, 0.000, 0.000], [-5.952, 10.310, 0.000], [0.000, 0.000, 3.501]], "species": ["La", "La", "La", "La", "La", "La", "Y", "Y", "Y", "Y", "Y", "Y"], "frac_coords": [[0.052, 0.774, 0.250], [0.226, 0.279, 0.250], [0.279, 0.052, 0.750], [0.721, 0.948, 0.250], [0.774, 0.721, 0.750], [0.948, 0.226, 0.750], [0.140, 0.530, 0.250], [0.390, 0.860, 0.250], [0.470, 0.610, 0.250], [0.530, 0.390, 0.750], [0.610, 0.140, 0.750], [0.860, 0.470, 0.750]]}

=====

# 9
{"formula": "YPb", "functional": "PBE-GGA", "state": "relaxed", "total_magnetization_mub_per_atom": 0.0000, "delta_e_f_ev_per_atom": 0.397, "total_energy_ev_per_atom": -4.690, "cell": [[8.609, 0.000, 0.000], [0.000, 8.609, 0.000], [0.000, 0.000, 8.609]], "species": ["Y", "Y", "Y", "Y", "Y", "Y", "Pb", "Pb", "Pb", "Pb", "Pb", "Pb"], "frac_coords": [[0.000, 0.250, 0.500], [0.000, 0.750, 0.500], [0.250, 0.500, 0.000], [0.500, 0.000, 0.250], [0.500, 0.000, 0.750], [0.750, 0.500, 0.000], [0.000, 0.500, 0.250], [0.000, 0.500, 0.750], [0.250, 0.000, 0.500], [0.500, 0.250, 0.000], [0.500, 0.750, 0.000], [0.750, 0.000, 0.500]]}

=====

# 10
{"formula": "VPb2C2", "functional": "PBE-GGA", "state": "relaxed", "total_magnetization_mub_per_atom": 0.0000, "relative_energy_ev_per_atom": 0.747, "delta_e_f_ev_per_atom": 2.030, "total_energy_ev_per_atom": -4.967, "cell": [[-1.473, 1.473, 9.290], [1.473, -1.473, 9.290], [1.473, 1.473, -9.290]], "species": ["V", "Pb", "Pb", "C", "C"], "frac_coords": [[0.000, 0.000, 0.000], [0.380, 0.380, 0.000], [0.620, 0.620, 0.000], [0.250, 0.750, 0.500], [0.750, 0.250, 0.500]]}

=====

# 11
{"formula": "EuMgBi2", "functional": "PBE-GGA", "state": "relaxed", "total_magnetization_mub_per_atom": 1.7469, "delta_e_f_ev_per_atom": -0.498, "total_energy_ev_per_atom": -5.405, "cell": [[5.093, 0.000, 0.000], [0.000, 5.093, 0.000], [0.000, 0.000, 4.525]], "species": ["Eu", "Mg", "Bi", "Bi"], "frac_coords": [[0.000, 0.000, 0.000], [0.500, 0.500, 0.000], [0.000, 0.500, 0.500], [0.500, 0.000, 0.500]]}